Compound: ZrCoSe2
Source: Alexandria
Functional: GGA-PBE
Structure: relaxed Values from VASP.

Cell and atoms, written as Quantum ESPRESSO input:
```
&SYSTEM
  ibrav = 0, nat = 4, ntyp = 3
/
ATOMIC_SPECIES
Co 58.93 Co.upf
Zr 91.22 Zr.upf
Se 78.96 Se.upf
CELL_PARAMETERS angstrom
0.000 3.262 3.262
3.262 0.000 3.262
3.262 3.262 0.000
ATOMIC_POSITIONS crystal
Co 0.000 0.000 0.000
Zr 0.500 0.500 0.500
Se 0.250 0.250 0.250
Se 0.750 0.750 0.750
```

Computed properties:
Electronic total energy ... -24.230 eV/cell
E_form (uncorrected) ... -0.402 eV/atom
Energy above the lowest structure with this stoichiometry ... 345 meV/atom

***

Compound: YB2Br
Source: Alexandria
Functional: GGA-PBE
Structure: relaxed Values from VASP.

Cell and atoms, written as Quantum ESPRESSO input:
```
&SYSTEM
  ibrav = 0, nat = 4, ntyp = 3
/
ATOMIC_SPECIES
Br 79.90 Br.upf
B 10.81 B.upf
Y 88.91 Y.upf
CELL_PARAMETERS angstrom
2.713 -2.860 -2.334
-1.574 -4.101 -1.300
-0.825 -0.839 -4.428
ATOMIC_POSITIONS crystal
Br 0.000 0.000 0.000
B 0.750 0.750 0.750
B 0.250 0.250 0.250
Y 0.500 0.500 0.500
```

Computed properties:
Electronic total energy ... -16.372 eV/cell
E_form (uncorrected) ... 1.280 eV/atom
Energy above the lowest structure with this stoichiometry ... 176 meV/atom

***

Compound: Na3Mg2US6
Source: Alexandria
Functional: GGA-PBE
Structure: relaxed Values from VASP.

Cell and atoms, written as Quantum ESPRESSO input:
```
&SYSTEM
  ibrav = 0, nat = 12, ntyp = 4
/
ATOMIC_SPECIES
U 238.03 U.upf
Na 22.99 Na.upf
Mg 24.30 Mg.upf
S 32.06 S.upf
CELL_PARAMETERS angstrom
-3.160 4.928 3.081
-3.253 -5.539 -1.581
3.769 -2.438 5.398
ATOMIC_POSITIONS crystal
U 0.000 0.000 0.000
Na 0.832 0.168 0.500
Na 0.168 0.832 0.500
Na 0.500 0.500 0.500
Mg 0.666 0.334 0.000
Mg 0.334 0.666 0.000
S 0.927 0.595 0.781
S 0.741 0.741 0.219
S 0.259 0.259 0.781
S 0.073 0.405 0.219
S 0.595 0.927 0.781
S 0.405 0.073 0.219
```

Computed properties:
Electronic total energy ... -59.612 eV/cell
E_form (uncorrected) ... -1.368 eV/atom

***

Compound: Mg3VAu
Source: Alexandria
Functional: GGA-PBE
Structure: relaxed Values from VASP.

Cell and atoms, written as Quantum ESPRESSO input:
```
&SYSTEM
  ibrav = 0, nat = 5, ntyp = 3
/
ATOMIC_SPECIES
V 50.94 V.upf
Mg 24.30 Mg.upf
Au 196.97 Au.upf
CELL_PARAMETERS angstrom
5.151 0.000 0.000
0.000 5.151 0.000
0.000 0.000 5.151
ATOMIC_POSITIONS crystal
V 0.000 0.000 0.000
Mg 0.000 0.000 0.500
Mg 0.500 0.000 0.000
Mg 0.000 0.500 0.000
Au 0.500 0.500 0.500
```

Computed properties:
DFT formation energy ... 948 meV/atom
Electronic total energy ... -12.442 eV/cell
Energy above the lowest structure with this stoichiometry ... 541 meV/atom

***

Compound: TaN2ClF
Source: Alexandria
Functional: GGA-PBE
Structure: relaxed Values from VASP.

Cell and atoms, written as Quantum ESPRESSO input:
```
&SYSTEM
  ibrav = 0, nat = 5, ntyp = 4
/
ATOMIC_SPECIES
N 14.01 N.upf
F 19.00 F.upf
Cl 35.45 Cl.upf
Ta 180.95 Ta.upf
CELL_PARAMETERS angstrom
4.103 0.000 0.000
0.000 4.103 0.000
0.000 0.000 4.097
ATOMIC_POSITIONS crystal
N 0.000 0.500 0.000
N 0.500 0.000 0.000
F 0.000 0.000 0.500
Cl 0.500 0.500 0.500
Ta 0.000 0.000 0.000
```

Computed properties:
Electronic total energy ... -33.262 eV/cell
E_form (uncorrected) ... -0.208 eV/atom
Energy above the lowest structure with this stoichiometry ... 0 meV/atom

***

Compound: CuSb2Te2
Source: Alexandria
Functional: GGA-PBE
Structure: relaxed Values from VASP.

Cell and atoms, written as Quantum ESPRESSO input:
```
&SYSTEM
  ibrav = 0, nat = 10, ntyp = 3
/
ATOMIC_SPECIES
Cu 63.55 Cu.upf
Sb 121.76 Sb.upf
Te 127.60 Te.upf
CELL_PARAMETERS angstrom
7.478 0.000 0.000
0.000 7.478 0.000
0.000 0.000 5.000
ATOMIC_POSITIONS crystal
Cu 0.500 0.500 0.000
Cu 0.000 0.000 0.000
Sb 0.359 0.141 0.500
Sb 0.859 0.359 0.500
Sb 0.141 0.641 0.500
Sb 0.641 0.859 0.500
Te 0.309 0.809 0.000
Te 0.691 0.191 0.000
Te 0.809 0.691 0.000
Te 0.191 0.309 0.000
```

Computed properties:
Electronic total energy ... -34.035 eV/cell
E_form (uncorrected) ... 0.321 eV/atom
Energy above the lowest structure with this stoichiometry ... 46 meV/atom

***

Compound: HfNbB2Rh
Source: Alexandria
Functional: GGA-PBE
Structure: relaxed Values from VASP.

Cell and atoms, written as Quantum ESPRESSO input:
```
&SYSTEM
  ibrav = 0, nat = 5, ntyp = 4
/
ATOMIC_SPECIES
Rh 102.91 Rh.upf
B 10.81 B.upf
Nb 92.91 Nb.upf
Hf 178.49 Hf.upf
CELL_PARAMETERS angstrom
-0.578 0.686 4.072
-2.935 -4.156 0.284
3.359 -2.314 0.867
ATOMIC_POSITIONS crystal
Rh 0.500 0.500 0.500
B 0.500 0.000 0.000
B 0.000 0.000 0.500
Nb 0.000 0.000 0.000
Hf 0.000 0.500 0.000
```

Computed properties:
DFT formation energy ... 1477 meV/atom
Electronic total energy ... -33.344 eV/cell

***

Compound: La2HgPd3Au12
Source: Alexandria
Functional: GGA-PBE
Structure: relaxed Values from VASP.

Cell and atoms, written as Quantum ESPRESSO input:
```
&SYSTEM
  ibrav = 0, nat = 18, ntyp = 4
/
ATOMIC_SPECIES
Au 196.97 Au.upf
Hg 200.59 Hg.upf
Pd 106.42 Pd.upf
La 138.91 La.upf
CELL_PARAMETERS angstrom
-4.312 6.841 0.960
-3.282 0.714 7.418
3.748 5.534 4.652
ATOMIC_POSITIONS crystal
Au 0.368 0.873 0.368
Au 0.380 0.853 0.853
Au 0.147 0.147 0.620
Au 0.632 0.127 0.632
Au 0.853 0.380 0.853
Au 0.368 0.368 0.873
Au 0.620 0.147 0.147
Au 0.632 0.632 0.127
Au 0.853 0.853 0.380
Au 0.873 0.368 0.368
Au 0.127 0.632 0.632
Au 0.147 0.620 0.147
Hg 0.000 0.000 0.000
Pd 0.000 0.500 0.000
Pd 0.000 0.000 0.500
Pd 0.500 0.000 0.000
La 0.389 0.389 0.389
La 0.611 0.611 0.611
```

Computed properties:
DFT formation energy ... 6 meV/atom
Electronic total energy ... -64.947 eV/cell

***

Compound: Nd2NiAg
Source: Alexandria
Functional: GGA-PBE
Structure: relaxed Values from VASP.

Cell and atoms, written as Quantum ESPRESSO input:
```
&SYSTEM
  ibrav = 0, nat = 4, ntyp = 3
/
ATOMIC_SPECIES
Ag 107.87 Ag.upf
Nd 144.24 Nd.upf
Ni 58.69 Ni.upf
CELL_PARAMETERS angstrom
-3.163 0.976 -1.386
1.101 -1.050 -3.250
-2.670 -6.813 1.297
ATOMIC_POSITIONS crystal
Ag 0.500 0.500 0.500
Nd 0.000 0.000 0.226
Nd 0.000 0.000 0.774
Ni 0.500 0.500 0.000
```

Computed properties:
DFT formation energy ... -240 meV/atom
Electronic total energy ... -19.127 eV/cell

***

Compound: NbTc2Au2
Source: Alexandria
Functional: GGA-PBE
Structure: relaxed Values from VASP.

Cell and atoms, written as Quantum ESPRESSO input:
```
&SYSTEM
  ibrav = 0, nat = 10, ntyp = 3
/
ATOMIC_SPECIES
Nb 92.91 Nb.upf
Au 196.97 Au.upf
Tc 98.00 Tc.upf
CELL_PARAMETERS angstrom
7.913 0.000 0.000
0.000 7.913 0.000
0.000 0.000 2.792
ATOMIC_POSITIONS crystal
Nb 0.000 0.000 0.000
Nb 0.500 0.500 0.000
Au 0.317 0.817 0.000
Au 0.817 0.683 0.000
Au 0.683 0.183 0.000
Au 0.183 0.317 0.000
Tc 0.391 0.109 0.500
Tc 0.891 0.391 0.500
Tc 0.109 0.609 0.500
Tc 0.609 0.891 0.500
```

Computed properties:
DFT formation energy ... 481 meV/atom
Electronic total energy ... -69.900 eV/cell
Energy above the lowest structure with this stoichiometry ... 112 meV/atom

***

Compound: Li2Mg4Cd2Ga
Source: Alexandria
Functional: GGA-PBE
Structure: relaxed Values from VASP.

Cell and atoms, written as Quantum ESPRESSO input:
```
&SYSTEM
  ibrav = 0, nat = 9, ntyp = 4
/
ATOMIC_SPECIES
Mg 24.30 Mg.upf
Li 6.94 Li.upf
Cd 112.41 Cd.upf
Ga 69.72 Ga.upf
CELL_PARAMETERS angstrom
-0.879 1.101 -4.758
-3.401 -7.710 -0.886
-2.267 3.978 3.474
ATOMIC_POSITIONS crystal
Mg 0.680 0.669 0.359
Mg 0.320 0.331 0.641
Mg 0.438 0.780 0.884
Mg 0.562 0.220 0.116
Li 0.110 0.443 0.208
Li 0.890 0.557 0.792
Cd 0.791 0.125 0.590
Cd 0.209 0.875 0.410
Ga 0.000 0.000 0.000
```

Computed properties:
DFT formation energy ... -113 meV/atom
Electronic total energy ... -16.082 eV/cell

***

Compound: BIrRu2Pb
Source: Alexandria
Functional: GGA-PBE
Structure: relaxed Values from VASP.

Cell and atoms, written as Quantum ESPRESSO input:
```
&SYSTEM
  ibrav = 0, nat = 5, ntyp = 4
/
ATOMIC_SPECIES
Ru 101.07 Ru.upf
B 10.81 B.upf
Pb 207.20 Pb.upf
Ir 192.22 Ir.upf
CELL_PARAMETERS angstrom
4.216 0.000 0.000
0.000 4.156 0.000
0.000 0.000 4.216
ATOMIC_POSITIONS crystal
Ru 0.500 0.000 0.000
Ru 0.000 0.000 0.500
B 0.000 0.000 0.000
Pb 0.500 0.500 0.500
Ir 0.000 0.500 0.000
```

Computed properties:
DFT formation energy ... 127 meV/atom
Electronic total energy ... -37.161 eV/cell